# 1
Material: TaCuAs2O
Method: DFT, PBE-GGA
State: optimized geometry

Formation energy from raw total energies ... 3.81 kcal/mol of atoms
Energy above the most stable polymorph in this dataset ... 0.000 eV/atom

Unit cell a=4.5105 b=3.6865 c=4.5105 alpha=90.00 beta=90.00 gamma=90.00
Element x y z (fractional)
As 0.5000 0.0000 0.0000
Ta 0.5000 0.5000 0.5000
As 0.0000 0.0000 0.5000
O 0.0000 0.0000 0.0000
Cu 0.0000 0.5000 0.0000

# 2
Material: CdRhW2
Method: DFT, PBE-GGA
State: optimized geometry

Unit cell a=5.1746 b=5.1746 c=4.6417 alpha=76.41 beta=76.41 gamma=33.12
Element x y z (fractional)
Cd 0.5000 0.5000 0.0000
W 0.2609 0.2609 0.7339
W 0.7391 0.7391 0.2661
Rh 0.0000 0.0000 0.5000

# 3
Material: Ga2AgPd
Method: DFT, PBE-GGA
State: optimized geometry

Energy above the most stable polymorph in this dataset ... 0.191 eV/atom

Unit cell a=7.2471 b=7.2471 c=5.8271 alpha=51.55 beta=51.55 gamma=90.00
Element x y z (fractional)
Ga 0.6030 0.1250 0.2500
Ag 0.7500 0.2500 0.5000
Ag 0.0000 0.0000 0.0000
Pd 0.2500 0.7500 0.5000
Ga 0.1470 0.6250 0.2500
Pd 0.5000 0.5000 0.0000
Ga 0.3750 0.3970 0.7500
Ga 0.8750 0.8530 0.7500

no.,E_tot (eV per atom),density of states at the Fermi level (states/eV per cell)
1,-5.876,3.23
2,-8.239,3.25
3,-3.585,2.93